Run i
A plane-wave DFT calculation with GGA-PBE was carried out for Sm8Y6Er after structural relaxation.

a = 9.4197 Å, b = 9.4197 Å, c = 6.5516 Å
α = 90.00°, β = 90.00°, γ = 120.00°
Space group P-3 (No. 147)
Asymmetric unit:
Sm 0.0360 0.2831 0.1665
Sm 0.3333 0.6667 0.1238
Y 0.0924 0.4371 0.6601
Er 0.0000 0.0000 0.5000

Output
calculated density = 6279 kg/m³

Run ii
A plane-wave DFT calculation with GGA-PBE was carried out for Sm8Y6Er after structural relaxation.

a = 9.1272 Å, b = 9.1272 Å, c = 20.8228 Å
α = 90.00°, β = 90.00°, γ = 120.00°
Space group R-3 (No. 148, hexagonal axes)
Asymmetric unit:
Sm 0.0000 0.0000 0.0771
Sm 0.0813 0.5566 0.3068
Y 0.0507 0.2457 0.2062
Er 0.0000 0.0000 0.5000

Output
calculated density = 6312 kg/m³

The winner here is run ii, beating the second structure by 53 meV/atom.

Run i
A plane-wave DFT calculation with GGA-PBE was carried out for Sm2Y5Er12 after structural relaxation.

a = 15.791 Å, b = 9.138 Å, c = 8.474 Å
α = 90.00°, β = 91.31°, γ = 90.00°
Space group C2/m (No. 12)
Asymmetric unit:
Sm 0.000 0.183 0.000
Y 0.000 0.500 0.500
Y 0.198 0.000 0.008
Y 0.234 0.500 0.576
Er 0.056 0.000 0.331
Er 0.093 0.500 0.885
Er 0.127 0.192 0.655
Er 0.156 0.319 0.246

Output
calculated density = 7477 kg/m³

Run ii
A plane-wave DFT calculation with GGA-PBE was carried out for Sm2Y5Er12 after structural relaxation.

a = 6.126 Å, b = 9.364 Å, c = 10.606 Å
α = 100.99°, β = 95.56°, γ = 90.08°
Space group P-1 (No. 2)
Asymmetric unit:
Sm 0.080 0.316 0.473
Y 0.237 0.947 0.420
Y 0.341 0.369 0.053
Y 0.500 0.000 0.000
Er 0.025 0.105 0.157
Er 0.132 0.526 0.790
Er 0.183 0.737 0.104
Er 0.290 0.159 0.738
Er 0.395 0.580 0.368
Er 0.446 0.790 0.685

Output
calculated density = 7690 kg/m³

The winner here is run ii, beating the second structure by 103 meV/atom.

Run i
A plane-wave DFT calculation with GGA-PBE was carried out for Sm12Y6Er after structural relaxation.

a = 12.1273 Å, b = 12.1273 Å, c = 15.1801 Å
α = 90.00°, β = 90.00°, γ = 120.00°
Space group R-3 (No. 148, hexagonal axes)
Asymmetric unit:
Sm 0.0060 0.8318 0.1914
Sm 0.0453 0.8505 0.4167
Y 0.0135 0.4247 0.6861
Er 0.0000 0.0000 0.0000

Output
calculated density = 6454 kg/m³

Run ii
A plane-wave DFT calculation with GGA-PBE was carried out for Sm12Y6Er after structural relaxation.

a = 16.3927 Å, b = 16.3927 Å, c = 8.3824 Å
α = 90.00°, β = 90.00°, γ = 120.00°
Space group R-3m (No. 166, hexagonal axes)
Asymmetric unit:
Sm 0.0000 0.3753 0.0000
Sm 0.0971 0.5485 0.3105
Y 0.0875 0.1749 0.1406
Er 0.0000 0.0000 0.5000

Output
calculated density = 6397 kg/m³

The winner here is run i, beating the second structure by 195 meV/atom.

Run i
A plane-wave DFT calculation with GGA-PBE was carried out for SmY4Er3 after structural relaxation.

a = 11.260 Å, b = 7.279 Å, c = 6.285 Å
α = 90.00°, β = 90.00°, γ = 90.00°
Space group Pmn2_1 (No. 31)
Asymmetric unit:
Sm 0.000 0.124 0.000
Y 0.000 0.374 0.497
Y 0.000 0.627 0.996
Y 0.249 0.626 0.333
Er 0.000 0.876 0.500
Er 0.250 0.124 0.330

Output
calculated density = 6497 kg/m³

Run ii
A plane-wave DFT calculation with GGA-PBE was carried out for SmY4Er3 after structural relaxation.

a = 3.558 Å, b = 7.099 Å, c = 10.049 Å
α = 90.00°, β = 90.00°, γ = 90.00°
Space group Pmmm (No. 47)
Asymmetric unit:
Sm 0.000 0.000 0.000
Y 0.500 0.251 0.252
Er 0.000 0.000 0.500
Er 0.000 0.500 0.000
Er 0.000 0.500 0.500

Output
calculated density = 6593 kg/m³

The winner here is run i, beating the second structure by 23 meV/atom.

Run i
A plane-wave DFT calculation with GGA-PBE was carried out for Sm2Y3Er2 after structural relaxation.

a = 17.513 Å, b = 3.505 Å, c = 8.564 Å
α = 90.00°, β = 119.25°, γ = 90.00°
Space group C2/m (No. 12)
Asymmetric unit:
Sm 0.066 0.000 0.220
Y 0.000 0.500 0.500
Y 0.212 0.500 0.625
Er 0.149 0.500 0.967

Output
calculated density = 6531 kg/m³

Run ii
A plane-wave DFT calculation with GGA-PBE was carried out for Sm2Y3Er2 after structural relaxation.

a = 9.752 Å, b = 9.752 Å, c = 9.752 Å
α = 90.00°, β = 90.00°, γ = 90.00°
Space group I2_13 (No. 199)
Asymmetric unit:
Sm 0.154 0.346 0.654
Y 0.000 0.250 0.310
Er 0.045 0.045 0.045

Output
calculated density = 6459 kg/m³

The winner here is run i, beating the second structure by 111 meV/atom.

Run i
A plane-wave DFT calculation with GGA-PBE was carried out for Sm5Y3Er after structural relaxation.

a = 15.255 Å, b = 11.623 Å, c = 9.930 Å
α = 90.00°, β = 129.73°, γ = 90.00°
Space group C2/m (No. 12)
Asymmetric unit:
Sm 0.000 0.246 0.000
Sm 0.152 0.248 0.745
Sm 0.224 0.500 0.044
Sm 0.227 0.000 0.237
Y 0.000 0.000 0.500
Y 0.000 0.500 0.000
Y 0.009 0.000 0.824
Y 0.016 0.500 0.355
Er 0.248 0.000 0.596

Output
calculated density = 5817 kg/m³

Run ii
A plane-wave DFT calculation with GGA-PBE was carried out for Sm5Y3Er after structural relaxation.

a = 16.356 Å, b = 6.758 Å, c = 11.586 Å
α = 90.00°, β = 110.12°, γ = 90.00°
Space group C2/c (No. 15)
Asymmetric unit:
Sm 0.000 0.185 0.250
Sm 0.110 0.002 0.549
Sm 0.172 0.408 0.350
Y 0.000 0.500 0.000
Y 0.239 0.100 0.869
Er 0.000 0.264 0.750

Output
calculated density = 6550 kg/m³

The winner here is run ii, beating the second structure by 341 meV/atom.